DFT (SCAN) results for a crystal of AlRh3 relaxed with PBEsol.

The structure belongs to space group C2/m (No. 12); the cell edges are 8.851, 2.725 and 4.567 Å and the angles 90.00°, 102.45° and 90.00°. Symmetry generates all atoms from Al at (0.000, 0.000, 0.000), Rh at (0.000, 0.500, 0.500) and Rh at (0.244, 0.500, 0.251).

For the density of states at the Fermi level, the calculation gives 5.4 states/eV/cell. The calculation puts the formation energy at -0.562 eV per atom.